The following is a DFT calculation (PBE) of a relaxed SmHoTm2 crystal.

## Properties
- DFT formation energy (eV per atom) = 0.02
- Fermi-level density of states (states/eV/f.u.) = 5.7

a b c (Å): 5.0009 5.0009 4.9773
angles (deg): 90.00 90.00 90.00
Space group P4/mmm (No. 123)
One atom of each set of equivalent atoms:
Sm: 0.0000 0.0000 0.0000 x1
Ho: 0.5000 0.5000 0.0000 x1
Tm: 0.0000 0.5000 0.5000 x2